1.
Here is crystalline VCuN2F at its relaxed geometry from Alexandria via LeMat-Bulk. Energies are from GGA+U.

crystal system = tetragonal
space-group type = P4/mmm (123)

Structure (POSCAR):
```
VCuN2F
1.0
-2.878 -0.755 2.364
-1.208 -2.736 -2.344
2.210 -2.575 1.868
N F Cu V
2 1 1 1
Direct
0.000 0.500 0.000
0.500 0.000 0.000
0.000 0.000 0.500
0.500 0.500 0.500
0.000 0.000 0.000
```



2.
Here is crystalline VCuNF2 at its relaxed geometry from Alexandria via LeMat-Bulk. Energies are from GGA+U.

crystal system = tetragonal
space-group type = P4/mmm (123)

Structure (POSCAR):
```
VCuNF2
1.0
-2.761 2.764 0.670
-0.696 0.248 -3.895
-2.664 -2.734 0.302
N F Cu V
1 2 1 1
Direct
0.000 0.000 0.500
0.000 0.500 0.000
0.500 0.000 0.000
0.500 0.500 0.500
0.000 0.000 0.000
```



3.
Here is crystalline VCuN2F at its relaxed geometry from Alexandria via LeMat-Bulk. Energies are from GGA+U.

crystal system = tetragonal
space-group type = P4/mmm (123)

Structure (POSCAR):
```
VCuN2F
1.0
3.791 0.000 0.000
0.000 3.791 0.000
0.000 0.000 3.718
N F Cu V
2 1 1 1
Direct
0.000 0.500 0.000
0.500 0.000 0.000
0.000 0.000 0.500
0.000 0.000 0.000
0.500 0.500 0.500
```



4.
Here is crystalline CuWN2F at its relaxed geometry from Alexandria via LeMat-Bulk. Energies are from GGA+U.

crystal system = tetragonal
space-group type = P4/mmm (123)

Structure (POSCAR):
```
CuWN2F
1.0
3.979 0.000 0.000
0.000 3.979 0.000
0.000 0.000 4.091
N Cu W F
2 1 1 1
Direct
0.000 0.500 0.000
0.500 0.000 0.000
0.500 0.500 0.500
0.000 0.000 0.000
0.000 0.000 0.500
```



5.
Here is crystalline CuWN2F at its relaxed geometry from Alexandria via LeMat-Bulk. Energies are from GGA+U.

crystal system = tetragonal
space-group type = P4/mmm (123)

Structure (POSCAR):
```
CuWN2F
1.0
-1.759 -3.032 -1.659
-0.526 -1.605 3.491
-3.158 1.672 0.293
N Cu W F
2 1 1 1
Direct
0.000 0.500 0.000
0.500 0.000 0.000
0.000 0.000 0.000
0.500 0.500 0.500
0.000 0.000 0.500
```



Number 1: total magnetization 0.00 Bohr magnetons per cell, DFT total energy -5.8338 eV/atom. Number 2: total magnetization 1.04 Bohr magnetons per cell, DFT total energy -5.5486 eV/atom. Number 3: total magnetization 1.71 Bohr magnetons per cell, DFT total energy -5.3161 eV/atom. Number 4: total magnetization 0.31 Bohr magnetons per cell, DFT total energy -5.8575 eV/atom. Number 5: total magnetization 2.02 Bohr magnetons per cell, DFT total energy -5.1528 eV/atom.